No. 1
TaNiBr: PBEsol geometry, SCAN.

The structure in POSCAR format:
```
TaNiBr
1.0
0.000 3.001 3.001
3.001 0.000 3.001
3.001 3.001 0.000
Ta Ni Br
1 1 1
direct
0.000 0.000 0.000 Ta
0.250 0.250 0.250 Ni
0.750 0.750 0.750 Br
```

Output
Energy relative to the elements, uncorrected = 2.597 eV per formula unit
E_tot = -99.6 eV per formula unit

No. 2
TaNiBr: PBEsol geometry, SCAN.

The structure in POSCAR format:
```
TaNiBr
1.0
-1.496 1.496 5.620
1.496 -1.496 5.620
1.496 1.496 -5.620
Ta Ni Br
1 1 1
direct
0.000 0.000 0.000 Ta
0.637 0.637 0.000 Ni
0.343 0.343 0.000 Br
```

Output
Energy relative to the elements, uncorrected = 1.052 eV per formula unit
E_tot = -101.2 eV per formula unit

No. 3
TaNiBr: PBEsol geometry, SCAN.

The structure in POSCAR format:
```
TaNiBr
1.0
3.281 0.000 0.000
-1.640 2.841 0.000
0.000 0.000 6.427
Ta Ni Br
1 1 1
direct
0.000 0.000 0.000 Ta
0.333 0.667 0.226 Ni
0.667 0.333 0.701 Br
```

Output
Energy relative to the elements, uncorrected = 0.413 eV per formula unit
E_tot = -101.8 eV per formula unit

No. 4
TaNiBr2: PBEsol geometry, SCAN.

The structure in POSCAR format:
```
TaNiBr2
1.0
-1.535 2.361 5.853
1.535 -2.361 5.853
1.535 2.361 -5.853
Ta Ni Br
1 1 2
direct
0.000 0.000 0.000 Ta
0.162 0.662 0.500 Ni
0.527 0.527 0.000 Br
0.812 0.312 0.500 Br
```

Output
Energy relative to the elements, uncorrected = 1.578 eV per formula unit
E_tot = -120.1 eV per formula unit